Entry 1:
# DyTlInTe3 | the Open Quantum Materials Database | PBE-GGA | relaxed
# - Spin magnetization: 0.002 μB per atom
# - Raw total energy: -92.3 eV per cell
data_DyTlInTe3
_cell_length_a 4.495
_cell_length_b 15.386
_cell_length_c 11.562
_cell_angle_alpha 90.00
_cell_angle_beta 90.00
_cell_angle_gamma 90.00
_symmetry_space_group_name_H-M 'C m c m'
_symmetry_Int_Tables_number 63
_symmetry_space_group_name_Hall '-C 2c 2'
loop_
_atom_site_label
_atom_site_type_symbol
_atom_site_fract_x
_atom_site_fract_y
_atom_site_fract_z
_atom_site_occupancy
Dy1 Dy 0.000 0.000 0.000 1
Tl1 Tl 0.000 0.235 0.250 1
In1 In 0.000 0.461 0.750 1
Te1 Te 0.000 0.087 0.750 1
Te2 Te 0.000 0.361 0.536 1

=====

Entry 2:
# DyZnInTe3 | the Open Quantum Materials Database | PBE-GGA | relaxed
# - Spin magnetization: 0.000 μB per atom
# - Raw total energy: -89.4 eV per cell
# - Relative energy among the computed polymorphs: 59 meV/atom
data_DyZnInTe3
_cell_length_a 12.501
_cell_length_b 4.490
_cell_length_c 13.068
_cell_angle_alpha 90.00
_cell_angle_beta 90.00
_cell_angle_gamma 90.00
_symmetry_space_group_name_H-M 'P n m a'
_symmetry_Int_Tables_number 62
_symmetry_space_group_name_Hall '-P 2ac 2n'
loop_
_atom_site_label
_atom_site_type_symbol
_atom_site_fract_x
_atom_site_fract_y
_atom_site_fract_z
_atom_site_occupancy
Dy1 Dy 0.024 0.250 0.184 1
Zn1 Zn 0.242 0.750 0.301 1
In1 In 0.183 0.250 0.493 1
Te1 Te 0.037 0.750 0.352 1
Te2 Te 0.097 0.250 0.936 1
Te3 Te 0.224 0.750 0.688 1